Record 1
First-principles (PBE) data for an optimized crystal structure of CaNd6Y4, as listed in Alexandria via LeMat-Bulk.

Summary:
Polymorph energy (0 for the lowest one) (eV per atom): 0.024
DOS(E_F) (states/eV/atom): 1.57
VASP energy (eV per atom): -4.76
Calculated formation energy (meV/atom): 373
SG: I-42m

Geometry as CIF:
```
data_CaNd6Y4
_chemical_formula_sum 'Ca1 Nd6 Y4'
_cell_length_a 8.6907
_cell_length_b 8.6907
_cell_length_c 8.6907
_cell_angle_alpha 126.30
_cell_angle_beta 126.30
_cell_angle_gamma 79.39
_symmetry_space_group_name_H-M 'P 1'
_symmetry_Int_Tables_number 1
loop_
_symmetry_equiv_pos_as_xyz
'x,y,z'
loop_
_atom_site_label
_atom_site_fract_x
_atom_site_fract_y
_atom_site_fract_z
Ca1 0.0000 0.0000 0.0000
Nd1 0.0000 0.5000 0.5000
Nd2 0.0553 0.5656 0.0000
Nd3 0.4344 0.4344 0.4897
Nd4 0.5000 0.0000 0.5000
Nd5 0.5656 0.0553 0.0000
Nd6 0.9447 0.9447 0.5103
Y1 0.2609 0.2609 0.6786
Y2 0.4177 0.7391 0.0000
Y3 0.5823 0.5823 0.3214
Y4 0.7391 0.4177 0.0000
```

Record 2
First-principles (PBE) data for an optimized crystal structure of Cu2Ni3Ge, as listed in Alexandria via LeMat-Bulk.

Summary:
DOS(E_F) (states/eV/atom): 0.47
VASP energy (eV per atom): -5.17
Calculated formation energy (meV/atom): -140
SG: Cmmm

Geometry as CIF:
```
data_Cu2Ni3Ge
_chemical_formula_sum 'Cu2 Ni3 Ge1'
_cell_length_a 5.8058
_cell_length_b 5.8058
_cell_length_c 3.4003
_cell_angle_alpha 90.00
_cell_angle_beta 90.00
_cell_angle_gamma 142.46
_symmetry_space_group_name_H-M 'P 1'
_symmetry_Int_Tables_number 1
loop_
_symmetry_equiv_pos_as_xyz
'x,y,z'
loop_
_atom_site_label
_atom_site_fract_x
_atom_site_fract_y
_atom_site_fract_z
Cu1 0.1712 0.8288 0.0000
Cu2 0.8288 0.1712 0.0000
Ni1 0.0000 0.0000 0.5000
Ni2 0.3374 0.6626 0.5000
Ni3 0.6626 0.3374 0.5000
Ge1 0.5000 0.5000 0.0000
```

Record 3
First-principles (PBE) data for an optimized crystal structure of TiHg3F, as listed in Alexandria via LeMat-Bulk.

Summary:
Polymorph energy (0 for the lowest one) (eV per atom): 0.000
DOS(E_F) (states/eV/atom): 0.64
VASP energy (eV per atom): -2.01
Energy relative to the elements, uncorrected (eV/f.u.): 0.615
SG: Pm-3m

Geometry as CIF:
```
data_TiHg3F
_chemical_formula_sum 'Ti1 Hg3 F1'
_cell_length_a 4.8835
_cell_length_b 4.8835
_cell_length_c 4.8835
_cell_angle_alpha 90.00
_cell_angle_beta 90.00
_cell_angle_gamma 90.00
_symmetry_space_group_name_H-M 'P 1'
_symmetry_Int_Tables_number 1
loop_
_symmetry_equiv_pos_as_xyz
'x,y,z'
loop_
_atom_site_label
_atom_site_fract_x
_atom_site_fract_y
_atom_site_fract_z
Ti1 0.0000 0.0000 0.0000
Hg1 0.0000 0.5000 0.5000
Hg2 0.5000 0.0000 0.5000
Hg3 0.5000 0.5000 0.0000
F1 0.5000 0.5000 0.5000
```

Record 4
First-principles (PBE) data for an optimized crystal structure of BaIn3Sn3, as listed in Alexandria via LeMat-Bulk.

Summary:
Polymorph energy (0 for the lowest one) (eV per atom): 0.086
DOS(E_F) (states/eV/atom): 0.40
VASP energy (eV per atom): -3.23
Calculated formation energy (meV/atom): -62
SG: Pm-3n

Geometry as CIF:
```
data_BaIn3Sn3
_chemical_formula_sum 'Ba2 In6 Sn6'
_cell_length_a 8.0848
_cell_length_b 8.0848
_cell_length_c 8.0848
_cell_angle_alpha 90.00
_cell_angle_beta 90.00
_cell_angle_gamma 90.00
_symmetry_space_group_name_H-M 'P 1'
_symmetry_Int_Tables_number 1
loop_
_symmetry_equiv_pos_as_xyz
'x,y,z'
loop_
_atom_site_label
_atom_site_fract_x
_atom_site_fract_y
_atom_site_fract_z
Ba1 0.0000 0.0000 0.0000
Ba2 0.5000 0.5000 0.5000
In1 0.0000 0.2500 0.5000
In2 0.0000 0.7500 0.5000
In3 0.2500 0.5000 0.0000
In4 0.5000 0.0000 0.2500
In5 0.5000 0.0000 0.7500
In6 0.7500 0.5000 0.0000
Sn1 0.0000 0.5000 0.2500
Sn2 0.0000 0.5000 0.7500
Sn3 0.2500 0.0000 0.5000
Sn4 0.5000 0.2500 0.0000
Sn5 0.5000 0.7500 0.0000
Sn6 0.7500 0.0000 0.5000
```